A plane-wave DFT calculation with PBE was carried out for GdGeAu2 after structural relaxation.

```
data_GdGeAu2
_chemical_formula_sum 'Gd1 Ge1 Au2'
_cell_length_a 4.392
_cell_length_b 4.392
_cell_length_c 4.337
_cell_angle_alpha 90.00
_cell_angle_beta 90.00
_cell_angle_gamma 90.00
_symmetry_space_group_name_H-M 'P 4/m m m'
_symmetry_Int_Tables_number 123
_symmetry_space_group_name_Hall '-P 4 2'
loop_
_atom_site_label
_atom_site_type_symbol
_atom_site_fract_x
_atom_site_fract_y
_atom_site_fract_z
Gd1 Gd 0.000 0.000 0.000
Ge1 Ge 0.500 0.500 0.000
Au1 Au 0.000 0.500 0.500
```

Results
- formation enthalpy at 0 K (eV per atom) = -0.503
- uncorrected energy (eV for the cell shown) = -27.26
- total magnetization (μB per cell) = 7.2